1.
# TlFe2PdRh, relaxed, DFT PBE
# Theoretical density: 7.7 Mg/m³
# Energy: -4.643 eV/atom
# Energy relative to the elements: 1.724 eV/atom
# Total magnetization: 1.346 μB/atom
# Crystal system: tetragonal
data_TlFe2PdRh
_chemical_formula_sum 'Tl1 Fe2 Pd1 Rh1'
_symmetry_space_group_name_H-M 'P 1'
_symmetry_Int_Tables_number 1
_symmetry_space_group_name_Hall 'P 1'
_cell_length_a 4.8051
_cell_length_b 4.9258
_cell_length_c 4.8051
_cell_angle_alpha 90.00
_cell_angle_beta 90.00
_cell_angle_gamma 90.00
loop_
_atom_site_label
_atom_site_type_symbol
_atom_site_fract_x
_atom_site_fract_y
_atom_site_fract_z
Tl1 Tl 0.0000 0.0000 0.0000
Rh1 Rh 0.0000 0.5000 0.0000
Fe1 Fe 0.0000 0.0000 0.5000
Fe2 Fe 0.5000 0.0000 0.0000
Pd1 Pd 0.5000 0.5000 0.5000



2.
# TlFePdRh, relaxed, DFT PBE
# Theoretical density: 12.0 Mg/m³
# Energy: -5.770 eV/atom
# Energy relative to the elements: 0.074 eV/atom
# Total magnetization: 0.857 μB/atom
# Crystal system: cubic
data_TlFePdRh
_chemical_formula_sum 'Tl1 Fe1 Pd1 Rh1'
_symmetry_space_group_name_H-M 'P 1'
_symmetry_Int_Tables_number 1
_symmetry_space_group_name_Hall 'P 1'
_cell_length_a 4.5085
_cell_length_b 4.5085
_cell_length_c 4.5085
_cell_angle_alpha 60.00
_cell_angle_beta 60.00
_cell_angle_gamma 60.00
loop_
_atom_site_label
_atom_site_type_symbol
_atom_site_fract_x
_atom_site_fract_y
_atom_site_fract_z
Tl1 Tl 0.0000 0.0000 0.0000
Rh1 Rh 0.7500 0.7500 0.7500
Fe1 Fe 0.5000 0.5000 0.5000
Pd1 Pd 0.2500 0.2500 0.2500



3.
# VFePdRh, relaxed, DFT PBE
# Theoretical density: 9.5 Mg/m³
# Energy: -7.567 eV/atom
# Energy relative to the elements: -0.035 eV/atom
# Offset from the most stable computed form: 0.140 eV/atom
# Total magnetization: 0.419 μB/atom
# Crystal system: cubic
data_VFePdRh
_chemical_formula_sum 'V1 Fe1 Pd1 Rh1'
_symmetry_space_group_name_H-M 'P 1'
_symmetry_Int_Tables_number 1
_symmetry_space_group_name_Hall 'P 1'
_cell_length_a 4.2812
_cell_length_b 4.2812
_cell_length_c 4.2812
_cell_angle_alpha 60.00
_cell_angle_beta 60.00
_cell_angle_gamma 60.00
loop_
_atom_site_label
_atom_site_type_symbol
_atom_site_fract_x
_atom_site_fract_y
_atom_site_fract_z
Rh1 Rh 0.7500 0.7500 0.7500
Fe1 Fe 0.2500 0.2500 0.2500
Pd1 Pd 0.0000 0.0000 0.0000
V1 V 0.5000 0.5000 0.5000



4.
# V2FePdRh, relaxed, DFT PBE
# Theoretical density: 6.1 Mg/m³
# Energy: -6.351 eV/atom
# Energy relative to the elements: 1.498 eV/atom
# Total magnetization: 0.001 μB/atom
# Crystal system: tetragonal
data_V2FePdRh
_chemical_formula_sum 'V2 Fe1 Pd1 Rh1'
_symmetry_space_group_name_H-M 'P 1'
_symmetry_Int_Tables_number 1
_symmetry_space_group_name_Hall 'P 1'
_cell_length_a 4.5229
_cell_length_b 4.8580
_cell_length_c 4.5229
_cell_angle_alpha 90.00
_cell_angle_beta 90.00
_cell_angle_gamma 90.00
loop_
_atom_site_label
_atom_site_type_symbol
_atom_site_fract_x
_atom_site_fract_y
_atom_site_fract_z
Rh1 Rh 0.0000 0.5000 0.0000
Fe1 Fe 0.5000 0.5000 0.5000
Pd1 Pd 0.0000 0.0000 0.0000
V1 V 0.0000 0.0000 0.5000
V2 V 0.5000 0.0000 0.0000



5.
# VFePdRh, relaxed, DFT PBE
# Theoretical density: 9.5 Mg/m³
# Energy: -7.707 eV/atom
# Energy relative to the elements: -0.176 eV/atom
# Offset from the most stable computed form: 0.000 eV/atom
# Total magnetization: 0.737 μB/atom
# Crystal system: monoclinic
data_VFePdRh
_chemical_formula_sum 'V1 Fe1 Pd1 Rh1'
_symmetry_space_group_name_H-M 'P 1'
_symmetry_Int_Tables_number 1
_symmetry_space_group_name_Hall 'P 1'
_cell_length_a 2.7197
_cell_length_b 2.7179
_cell_length_c 7.9354
_cell_angle_alpha 90.00
_cell_angle_beta 109.98
_cell_angle_gamma 90.00
loop_
_atom_site_label
_atom_site_type_symbol
_atom_site_fract_x
_atom_site_fract_y
_atom_site_fract_z
V1 V 0.7246 0.9296 0.3318
Fe1 Fe 0.2389 0.9297 0.8462
Pd1 Pd 0.4825 0.4296 0.5901
Rh1 Rh 0.9844 0.4297 0.0926



6.
# FePd3Ru, relaxed, DFT PBE
# Theoretical density: 9.0 Mg/m³
# Energy: -5.245 eV/atom
# Energy relative to the elements: 1.419 eV/atom
# Total magnetization: 0.000 μB/atom
# Crystal system: cubic
data_FePd3Ru
_chemical_formula_sum 'Fe1 Pd3 Ru1'
_symmetry_space_group_name_H-M 'P 1'
_symmetry_Int_Tables_number 1
_symmetry_space_group_name_Hall 'P 1'
_cell_length_a 4.4509
_cell_length_b 4.4509
_cell_length_c 4.4509
_cell_angle_alpha 90.00
_cell_angle_beta 90.00
_cell_angle_gamma 90.00
loop_
_atom_site_label
_atom_site_type_symbol
_atom_site_fract_x
_atom_site_fract_y
_atom_site_fract_z
Ru1 Ru 0.5000 0.5000 0.5000
Fe1 Fe 0.0000 0.0000 0.0000
Pd1 Pd 0.0000 0.5000 0.0000
Pd2 Pd 0.0000 0.0000 0.5000
Pd3 Pd 0.5000 0.0000 0.0000